DFT (PBE) results for a relaxed structure of LaCe2Co.

Values from the calculation:
**E_tot**: -23.95 eV for the cell shown
**SG**: No. 123
**Energy of formation**: -0.01 eV per atom
**Polymorph energy (0 for the lowest one)**: 9.66 kJ per mole of atoms

a = 3.5145 Å, b = 3.5145 Å, c = 8.1046 Å
α = 90.00°, β = 90.00°, γ = 90.00°
Closest atoms and distances in Å follow each position.
Sites, in units of the cell vectors:
Co (0.5000, 0.5000, 0.0000)  8 Ce 2.87
Ce (0.0000, 0.0000, 0.8236)  1 Ce 2.86, 4 Co 2.87
Ce (0.0000, 0.0000, 0.1764)  1 Ce 2.86, 4 Co 2.87
La (0.5000, 0.5000, 0.5000)  4 La 3.51, 8 Ce 3.61